The following is a DFT calculation (meta-GGA SCAN) of a PBEsol-optimized structure of Cr2InSi.

a b c (Å): 3.040 4.263 4.978
angles (deg): 115.35 107.78 90.00
Site moments in Bohr magnetons follow the coordinates.
Fractional positions:
Cr 0.995 0.995 0.990  -2.28
Cr 0.275 0.775 0.551  2.50
In 0.504 0.504 0.008  0.01
Si 0.725 0.225 0.451  -0.03

* raw formation energy: 0.284 eV/atom
* raw total energy: -19.759 eV/atom
* space-group type: Imm2, No. 44

---

The following is a DFT calculation (meta-GGA SCAN) of a PBEsol-optimized structure of ZrCrIn2Si.

a b c (Å): 4.421 4.962 4.962
angles (deg): 90.00 90.00 90.00
Site moments in Bohr magnetons follow the coordinates.
Fractional positions:
Cr 0.500 0.000 0.000  3.19
Si 0.000 0.000 0.000  -0.09
Zr 0.500 0.500 0.500  -0.44
In 0.000 0.000 0.500  -0.02
In 0.000 0.500 0.000  -0.02

* raw formation energy: 0.627 eV/atom
* raw total energy: -24.548 eV/atom
* space-group type: P4/mmm, No. 123

---

The following is a DFT calculation (meta-GGA SCAN) of a PBEsol-optimized structure of SrCrIn.

a b c (Å): 5.065 5.065 5.065
angles (deg): 60.00 60.00 60.00
Site moments in Bohr magnetons follow the coordinates.
Fractional positions:
Cr 0.500 0.500 0.500  3.97
In 0.750 0.750 0.750  -0.24
Sr 0.000 0.000 0.000  -0.06

* formation energy from the elements: 0.2466 eV per atom
* raw total energy: -24.435 eV/atom
* space-group type: F-43m, No. 216

---

The following is a DFT calculation (meta-GGA SCAN) of a PBEsol-optimized structure of SrCrIn2.

a b c (Å): 4.690 4.690 6.271
angles (deg): 68.04 68.04 60.00
Site moments in Bohr magnetons follow the coordinates.
Fractional positions:
Cr 0.500 0.500 0.500  3.89
In 0.790 0.790 0.631  -0.07
In 0.210 0.210 0.369  -0.07
Sr 0.000 0.000 0.000  -0.02

* formation energy from the elements: -0.2750 eV per atom
* raw total energy: -27.133 eV/atom
* space-group type: R-3m, No. 166

---

The following is a DFT calculation (meta-GGA SCAN) of a PBEsol-optimized structure of SrCr2In.

a b c (Å): 4.172 4.591 4.591
angles (deg): 90.00 90.00 90.00
Site moments in Bohr magnetons follow the coordinates.
Fractional positions:
Cr 0.000 0.000 0.500  3.80
Cr 0.000 0.500 0.000  3.80
In 0.500 0.500 0.500  -0.20
Sr 0.500 0.000 0.000  -0.01

* formation energy from the elements: 0.3966 eV per atom
* raw total energy: -22.711 eV/atom
* space-group type: P4/mmm, No. 123

---

The following is a DFT calculation (meta-GGA SCAN) of a PBEsol-optimized structure of SrCrIn.

a b c (Å): 3.734 3.734 6.263
angles (deg): 107.34 107.34 90.00
Site moments in Bohr magnetons follow the coordinates.
Fractional positions:
Cr 0.964 0.964 0.928  3.98
In 0.367 0.367 0.735  -0.08
Sr 0.668 0.668 0.337  0.04

* formation energy from the elements: -0.0295 eV per atom
* raw total energy: -24.712 eV/atom
* space-group type: I4mm, No. 107

---

The following is a DFT calculation (meta-GGA SCAN) of a PBEsol-optimized structure of TaCr3In.

a b c (Å): 4.713 4.713 4.713
angles (deg): 90.00 90.00 90.00
Site moments in Bohr magnetons follow the coordinates.
Fractional positions:
Cr 0.000 0.500 0.000  3.57
Cr 0.000 0.000 0.500  3.57
Cr 0.500 0.000 0.000  3.57
In 0.000 0.000 0.000  0.06
Ta 0.500 0.500 0.500  -1.58

* formation energy from the elements: 1.8154 eV per atom
* raw total energy: -29.209 eV/atom
* space-group type: Pm-3m, No. 221

---

The following is a DFT calculation (meta-GGA SCAN) of a PBEsol-optimized structure of TaCr2In.

a b c (Å): 3.222 3.222 5.898
angles (deg): 90.00 90.00 90.00
Fractional positions:
Cr 0.000 0.000 0.712
Cr 0.000 0.000 0.288
In 0.500 0.500 0.000
Ta 0.500 0.500 0.500

* formation energy from the elements: 0.2444 eV per atom
* raw total energy: -33.940 eV/atom
* space-group type: P4/mmm, No. 123

---

The following is a DFT calculation (meta-GGA SCAN) of a PBEsol-optimized structure of TaCr2In.

a b c (Å): 2.899 2.899 7.180
angles (deg): 90.00 90.00 90.00
Site moments in Bohr magnetons follow the coordinates.
Fractional positions:
Cr 0.000 0.000 0.040  1.61
Cr 0.500 0.500 0.198  -2.12
In 0.000 0.000 0.471  0.06
Ta 0.500 0.500 0.790  -0.02

* formation energy from the elements: 0.1110 eV per atom
* raw total energy: -34.074 eV/atom
* space-group type: P4mm, No. 99

---

The following is a DFT calculation (meta-GGA SCAN) of a PBEsol-optimized structure of TaCr2In.

a b c (Å): 2.824 4.345 5.285
angles (deg): 90.00 97.47 90.00
Fractional positions:
Cr 0.677 0.000 0.684
Cr 0.323 0.000 0.316
In 0.500 0.500 0.000
Ta 0.000 0.500 0.500

* formation energy from the elements: 0.3522 eV per atom
* raw total energy: -33.833 eV/atom
* space-group type: P2/m, No. 10

---

The following is a DFT calculation (meta-GGA SCAN) of a PBEsol-optimized structure of TaCr2In.

a b c (Å): 3.782 3.782 5.020
angles (deg): 112.13 112.13 90.00
Site moments in Bohr magnetons follow the coordinates.
Fractional positions:
Cr 0.000 0.000 0.000  2.83
Cr 0.750 0.250 0.500  -2.29
In 0.500 0.500 0.000  0.01
Ta 0.250 0.750 0.500  0.18

* formation energy from the elements: 0.2858 eV per atom
* raw total energy: -33.899 eV/atom
* space-group type: I-4m2, No. 119

---

The following is a DFT calculation (meta-GGA SCAN) of a PBEsol-optimized structure of TaCr2In.

a b c (Å): 3.258 4.305 4.305
angles (deg): 90.00 90.00 90.00
Site moments in Bohr magnetons follow the coordinates.
Fractional positions:
Cr 0.000 0.000 0.500  2.29
Cr 0.000 0.500 0.000  2.29
In 0.500 0.500 0.500  -0.10
Ta 0.500 0.000 0.000  -0.68

* formation energy from the elements: 0.1191 eV per atom
* raw total energy: -34.066 eV/atom
* space-group type: P4/mmm, No. 123

---

Copy entry 11 word for word.
The following is a DFT calculation (meta-GGA SCAN) of a PBEsol-optimized structure of TaCr2In.

a b c (Å): 3.782 3.782 5.020
angles (deg): 112.13 112.13 90.00
Site moments in Bohr magnetons follow the coordinates.
Fractional positions:
Cr 0.000 0.000 0.000  2.83
Cr 0.750 0.250 0.500  -2.29
In 0.500 0.500 0.000  0.01
Ta 0.250 0.750 0.500  0.18

* formation energy from the elements: 0.2858 eV per atom
* raw total energy: -33.899 eV/atom
* space-group type: I-4m2, No. 119